MnTl2OsO6: optimized geometry, PBE+U.

Structure (extended XYZ):
```
10
Lattice="5.091 0.000 0.000 0.000 6.134 0.000 0.000 -3.067 5.312" Properties=species:S:1:pos:R:3 pbc="T T T"
Mn 2.546 0.000 0.000
O 3.821 0.000 1.480
O 1.271 3.067 3.832
O 3.821 -1.785 4.572
O 1.271 4.852 0.740
O 3.821 1.785 4.572
O 1.271 1.282 0.740
Tl 3.582 3.067 1.771
Tl 1.510 0.000 3.541
Os 0.000 0.000 0.000
```

Calculated values
Crystal system = trigonal
E_tot = -0.456 Ry per atom